1.
# LaNd3Ni2 (GGA-PBE, relaxed)
# Formation energy in eV/atom: -0.2094
data_LaNd3Ni2
_chemical_formula_sum 'La4 Nd12 Ni8'
_space_group_name_H-M_alt 'C 1 2/m 1'
_space_group_IT_number 12
_cell_length_a 16.830
_cell_length_b 3.983
_cell_length_c 12.011
_cell_angle_alpha 90.00
_cell_angle_beta 124.75
_cell_angle_gamma 90.00
loop_
_space_group_symop_operation_xyz
'x,y,z'
'-x,-y,-z'
'-x,y,-z'
'x,-y,z'
'x+1/2,y+1/2,z'
'-x+1/2,-y+1/2,-z'
'-x+1/2,y+1/2,-z'
'x+1/2,-y+1/2,z'
loop_
_atom_site_label
_atom_site_fract_x
_atom_site_fract_y
_atom_site_fract_z
La1 0.156 0.000 0.254
Nd1 0.081 0.500 0.444
Nd2 0.084 0.500 0.942
Nd3 0.154 0.000 0.750
Ni1 0.233 0.000 0.048
Ni2 0.233 0.000 0.552

---

2.
# TiTlCu2I8 (GGA-PBE, relaxed)
# Formation energy from raw total energies in eV/atom: -0.41
data_TiTlCu2I8
_chemical_formula_sum 'Ti2 Tl2 Cu4 I16'
_space_group_name_H-M_alt 'C 1 2/m 1'
_space_group_IT_number 12
_cell_length_a 11.867
_cell_length_b 7.889
_cell_length_c 9.808
_cell_angle_alpha 90.00
_cell_angle_beta 91.26
_cell_angle_gamma 90.00
loop_
_space_group_symop_operation_xyz
'x,y,z'
'-x,-y,-z'
'-x,y,-z'
'x,-y,z'
'x+1/2,y+1/2,z'
'-x+1/2,-y+1/2,-z'
'-x+1/2,y+1/2,-z'
'x+1/2,-y+1/2,z'
loop_
_atom_site_label
_atom_site_fract_x
_atom_site_fract_y
_atom_site_fract_z
Ti1 0.000 0.000 0.000
Tl1 0.000 0.000 0.500
Cu1 0.145 0.500 0.776
I1 0.004 0.247 0.202
I2 0.214 0.500 0.537
I3 0.233 0.000 0.002

---

3.
# LaCu3Br (GGA-PBE, relaxed)
# Formation energy from raw total energies in eV/atom: 1.03
data_LaCu3Br
_chemical_formula_sum 'La1 Cu3 Br1'
_space_group_name_H-M_alt 'P m -3 m'
_space_group_IT_number 221
_space_group_name_Hall '-P 4 2 3'
_cell_length_a 5.441
_cell_length_b 5.441
_cell_length_c 5.441
_cell_angle_alpha 90.00
_cell_angle_beta 90.00
_cell_angle_gamma 90.00
loop_
_atom_site_label
_atom_site_fract_x
_atom_site_fract_y
_atom_site_fract_z
La1 0.000 0.000 0.000
Cu1 0.000 0.000 0.500
Br1 0.500 0.500 0.500

---

4.
# AcTbIrPd (GGA-PBE, relaxed)
# Formation energy in eV/atom: -0.6793
data_AcTbIrPd
_chemical_formula_sum 'Ac4 Tb4 Ir4 Pd4'
_space_group_name_H-M_alt 'F -4 3 m'
_space_group_IT_number 216
_space_group_name_Hall 'F -4 2 3'
_cell_length_a 7.240
_cell_length_b 7.240
_cell_length_c 7.240
_cell_angle_alpha 90.00
_cell_angle_beta 90.00
_cell_angle_gamma 90.00
loop_
_atom_site_label
_atom_site_fract_x
_atom_site_fract_y
_atom_site_fract_z
Ac1 0.000 0.000 0.000
Tb1 0.000 0.000 0.500
Ir1 0.250 0.250 0.250
Pd1 0.250 0.250 0.750

---

5.
# ZnCuTe2 (GGA-PBE, relaxed)
# Formation energy from raw total energies in eV/atom: -0.05
data_ZnCuTe2
_chemical_formula_sum 'Zn4 Cu4 Te8'
_space_group_name_H-M_alt 'I 41/a m d'
_space_group_IT_number 141
_cell_length_a 5.641
_cell_length_b 5.641
_cell_length_c 11.233
_cell_angle_alpha 90.00
_cell_angle_beta 90.00
_cell_angle_gamma 90.00
loop_
_space_group_symop_operation_xyz
'x,y,z'
'-x,-y,-z'
'-y+1/4,x+3/4,z+1/4'
'y+1/4,-x+3/4,-z+1/4'
'-x+1/2,-y,z+1/2'
'x+1/2,y,-z+1/2'
'y+1/4,-x+1/4,z+3/4'
'-y+1/4,x+1/4,-z+3/4'
'x,-y,-z'
'-x,y,z'
'-y+1/4,-x+1/4,-z+3/4'
'y+1/4,x+1/4,z+3/4'
'-x+1/2,y,-z+1/2'
'x+1/2,-y,z+1/2'
'y+1/4,x+3/4,-z+1/4'
'-y+1/4,-x+3/4,z+1/4'
'x+1/2,y+1/2,z+1/2'
'-x+1/2,-y+1/2,-z+1/2'
'-y+3/4,x+1/4,z+3/4'
'y+3/4,-x+1/4,-z+3/4'
'-x,-y+1/2,z'
'x,y+1/2,-z'
'y+3/4,-x+3/4,z+1/4'
'-y+3/4,x+3/4,-z+1/4'
'x+1/2,-y+1/2,-z+1/2'
'-x+1/2,y+1/2,z+1/2'
'-y+3/4,-x+3/4,-z+1/4'
'y+3/4,x+3/4,z+1/4'
'-x,y+1/2,-z'
'x,-y+1/2,z'
'y+3/4,x+1/4,-z+3/4'
'-y+3/4,-x+1/4,z+3/4'
loop_
_atom_site_label
_atom_site_fract_x
_atom_site_fract_y
_atom_site_fract_z
Zn1 0.000 0.250 0.375
Cu1 0.000 0.250 0.875
Te1 0.000 0.250 0.116

---

6.
# Ho6ZnRh2 (GGA-PBE, relaxed)
# Formation energy in eV/atom: -0.5323
data_Ho6ZnRh2
_chemical_formula_sum 'Ho24 Zn4 Rh8'
_space_group_name_H-M_alt 'I m m m'
_space_group_IT_number 71
_space_group_name_Hall '-I 2 2'
_cell_length_a 9.287
_cell_length_b 9.415
_cell_length_c 10.235
_cell_angle_alpha 90.00
_cell_angle_beta 90.00
_cell_angle_gamma 90.00
loop_
_atom_site_label
_atom_site_fract_x
_atom_site_fract_y
_atom_site_fract_z
Ho1 0.000 0.193 0.241
Ho2 0.194 0.500 0.171
Ho3 0.220 0.322 0.500
Zn1 0.000 0.000 0.000
Zn2 0.000 0.000 0.500
Rh1 0.000 0.330 0.000
Rh2 0.000 0.500 0.368

---

no.,total magnetic moment (μB per cell)
1,0.000
2,0.000
3,0.000
4,0.000
5,0.000
6,0.000